Entry 1:
Material: CoNi2Rh
Method: DFT, GGA-PBE
State: relaxed

Fermi-level density of states ... 1.3120 states/eV/atom
Offset from the most stable computed form ... 119 meV per atom
Formation energy from the elements ... 131.3 meV per atom
Uncorrected energy ... -25.5 eV per formula unit

Cell: 4.029 4.029 4.029 Å, 116.25 116.25 96.64°
Fractional coordinates of all 4 atoms:
Co  0.000  0.000  0.000
Ni  0.500  0.500  0.000
Ni  0.750  0.250  0.500
Rh  0.250  0.750  0.500

Entry 2:
Material: La5CoHPt2
Method: DFT, GGA-PBE
State: relaxed

Fermi-level density of states ... 0.7338 states/eV/atom
Uncorrected energy ... -53.1 eV per formula unit

Cell: 8.954 8.954 12.867 Å, 90.00 90.00 153.86°
Fractional coordinates of all 18 atoms:
La  0.002  0.998  0.500
La  0.142  0.858  0.755
La  0.199  0.801  0.106
La  0.203  0.797  0.408
La  0.451  0.549  0.747
La  0.549  0.451  0.247
La  0.797  0.203  0.908
La  0.801  0.199  0.606
La  0.858  0.142  0.255
La  0.998  0.002  0.000
Co  0.299  0.701  0.757
Co  0.701  0.299  0.257
H  0.063  0.937  0.158
H  0.937  0.063  0.658
Pt  0.378  0.622  0.069
Pt  0.379  0.621  0.439
Pt  0.621  0.379  0.939
Pt  0.622  0.378  0.569